1.
The following is a DFT calculation (GGA-PBE) of a geometry-optimized Ag3C structure.

## Properties
- energy of formation from the pure elements (eV per atom) = 1.1055
- offset from the most stable computed form (meV per atom) = 549.1
- symmetry = P2/m (10)
- crystal system = monoclinic

abc: 3.324 5.169 5.182
angles: 50.16 90.00 90.00
Fractional coordinates of all 4 atoms:
C (0.500, 0.250, 0.250)
Ag (0.000, 0.092, 0.092)
Ag (0.500, 0.750, 0.750)
Ag (0.000, 0.408, 0.408)

2.
The following is a DFT calculation (GGA-PBE) of a geometry-optimized Ca4TlIn2 structure.

## Properties
- energy of formation from the pure elements (eV per atom) = -0.0646
- offset from the most stable computed form (meV per atom) = 294.2
- symmetry = I4/mmm (139)
- crystal system = tetragonal

abc: 5.953 5.953 8.811
angles: 70.26 70.26 90.00
Fractional coordinates of all 7 atoms:
Tl (0.000, 0.000, 0.000)
Ca (0.196, 0.196, 0.608)
Ca (0.804, 0.804, 0.392)
Ca (0.000, 0.500, 0.000)
Ca (0.500, 0.000, 0.000)
In (0.399, 0.399, 0.202)
In (0.601, 0.601, 0.798)

3.
The following is a DFT calculation (GGA-PBE) of a geometry-optimized Dy4Tm3Sc3 structure.

## Properties
- energy of formation from the pure elements (eV per atom) = 0.0932
- symmetry = Amm2 (38)
- crystal system = orthorhombic

abc: 3.610 8.968 8.968
angles: 90.44 90.00 90.00
Fractional coordinates of all 10 atoms:
Dy (0.000, 0.632, 0.368)
Dy (0.000, 0.375, 0.625)
Dy (0.000, 0.864, 0.873)
Dy (0.000, 0.127, 0.136)
Tm (0.000, 0.501, 0.001)
Tm (0.000, 0.999, 0.499)
Tm (0.500, 0.169, 0.831)
Sc (0.500, 0.831, 0.169)
Sc (0.500, 0.333, 0.330)
Sc (0.500, 0.670, 0.667)

Among the records above, which one has the lowest energy of formation from the pure elements? Ca4TlIn2

Among the records above, which one has the highest energy of formation from the pure elements? Ag3C

Number 1 is which compound? Ag3C

What is the energy of formation from the pure elements in the third record? 0.0932 eV per atom